This record from Alexandria describes a geometry-optimized NpWC2 structure. The functional is GGA-PBE.

The energy of formation is 0.072 eV/atom. Its raw total energy is -11.013 eV/atom. For the calculated density, the calculation gives 14.927 g cm⁻³. As for the calculated volume: 12.4 A^3/atom.

The structure in CIF format:
```
data_NpWC2
_space_group_name_H-M_alt 'R 3 m'
_space_group_IT_number 160
_space_group_name_Hall 'R 3 -2"'
_cell_length_a 3.1254
_cell_length_b 3.1254
_cell_length_c 17.5502
_cell_angle_alpha 90.00
_cell_angle_beta 90.00
_cell_angle_gamma 120.00
loop_
_atom_site_label
_atom_site_fract_x
_atom_site_fract_y
_atom_site_fract_z
Np1 0.0000 0.0000 0.0000
W1 0.0000 0.0000 0.1744
C1 0.0000 0.0000 0.5772
C2 0.0000 0.0000 0.7672
```